A relaxed structure of Zr2Be2CrFe5, computed with PBE.

a b c (Å): 3.080 8.868 8.868
angles (deg): 90.00 90.00 90.00
Last column: magnetic moment on the atom in μB.
Positions (direct):
1 Zr 0.000 0.674 0.174  -0.15
2 Zr 0.000 0.326 0.826  -0.15
3 Zr 0.000 0.174 0.326  -0.15
4 Zr 0.000 0.826 0.674  -0.15
5 Be 0.000 0.122 0.622  -0.03
6 Be 0.000 0.878 0.378  -0.03
7 Be 0.000 0.622 0.878  -0.03
8 Be 0.000 0.378 0.122  -0.03
9 Cr 0.000 0.000 0.000  -0.70
10 Cr 0.000 0.500 0.500  -0.70
11 Fe 0.500 0.205 0.065  0.65
12 Fe 0.500 0.795 0.935  0.65
13 Fe 0.500 0.065 0.795  0.65
14 Fe 0.500 0.705 0.435  0.65
15 Fe 0.500 0.935 0.205  0.65
16 Fe 0.500 0.295 0.565  0.65
17 Fe 0.500 0.565 0.705  0.65
18 Fe 0.500 0.435 0.295  0.65
19 Fe 0.500 0.500 0.000  0.11
20 Fe 0.500 0.000 0.500  0.11

Space group: No. 127
ΔE_f (kcal/mol of atoms): -2.859
DOS at the Fermi energy (states/eV per cell): 17.869